Compound: LaZr2ZnSi
Source: Alexandria via LeMat-Bulk
Functional: PBE
Structure: optimized geometry

Unit cell a=5.227 b=5.227 c=5.161 alpha=90.00 beta=90.00 gamma=90.00
Positions (direct):
La 0.000 0.000 0.000
Zr 0.000 0.500 0.000
Zr 0.500 0.000 0.000
Zn 0.000 0.000 0.500
Si 0.500 0.500 0.500

Calculated values
The total magnetization is 0.00 μB per formula unit. Its space-group type is P4/mmm, No. 123. Its total energy is -4.192 eV per atom. For the density of states at the Fermi level, the calculation gives 1.37 states/eV/atom.


Compound: La3ZrSi
Source: Alexandria via LeMat-Bulk
Functional: PBE
Structure: optimized geometry

Unit cell a=5.669 b=5.669 c=5.669 alpha=90.00 beta=90.00 gamma=90.00
Positions (direct):
La 0.000 0.000 0.500
La 0.000 0.500 0.000
La 0.500 0.000 0.000
Zr 0.500 0.500 0.500
Si 0.000 0.000 0.000

Calculated values
The total magnetization is 0.00 μB per formula unit. Its energy above the most stable polymorph in this dataset is 0.0 meV per atom. Its space-group type is Pm-3m, No. 221. Its total energy is -5.417 eV per atom. For the density of states at the Fermi level, the calculation gives 3.37 states/eV/atom.


Compound: LaZr2Si
Source: Alexandria via LeMat-Bulk
Functional: PBE
Structure: optimized geometry

Unit cell a=5.541 b=5.541 c=5.569 alpha=104.24 beta=104.24 gamma=34.10
Positions (direct):
La 0.000 0.000 0.000
Zr 0.218 0.218 0.712
Zr 0.782 0.782 0.288
Si 0.500 0.500 0.500

Calculated values
The total magnetization is 0.00 μB per formula unit. Its space-group type is C2/m, No. 12. Its total energy is -7.074 eV per atom. For the density of states at the Fermi level, the calculation gives 0.88 states/eV/atom.


Compound: LaZrSi2
Source: Alexandria via LeMat-Bulk
Functional: PBE
Structure: optimized geometry

Unit cell a=3.312 b=3.312 c=7.941 alpha=90.00 beta=90.00 gamma=90.00
Positions (direct):
La 0.000 0.000 0.000
Zr 0.500 0.500 0.610
Si 0.000 0.000 0.402
Si 0.500 0.500 0.264

Calculated values
The total magnetization is 0.00 μB per formula unit. Its energy above the most stable polymorph in this dataset is 398.1 meV per atom. Its space-group type is P4mm, No. 99. Its total energy is -6.275 eV per atom. For the density of states at the Fermi level, the calculation gives 0.89 states/eV/atom.


Compound: LaZr2Si
Source: Alexandria via LeMat-Bulk
Functional: PBE
Structure: optimized geometry

Unit cell a=5.872 b=5.872 c=5.872 alpha=139.93 beta=133.91 gamma=62.69
Positions (direct):
La 0.000 0.000 0.000
Zr 0.442 0.442 0.000
Zr 0.732 0.232 0.500
Si 0.252 0.752 0.500

Calculated values
The total magnetization is 0.00 μB per formula unit. Its space-group type is Imm2, No. 44. Its total energy is -6.996 eV per atom. For the density of states at the Fermi level, the calculation gives 1.02 states/eV/atom.


Compound: LaZr2Si
Source: Alexandria via LeMat-Bulk
Functional: PBE
Structure: optimized geometry

Unit cell a=3.137 b=3.137 c=9.349 alpha=90.00 beta=90.00 gamma=90.00
Positions (direct):
La 0.000 0.000 0.000
Zr 0.500 0.500 0.309
Zr 0.500 0.500 0.691
Si 0.000 0.000 0.500

Calculated values
The total magnetization is 0.00 μB per formula unit. Its space-group type is P4/mmm, No. 123. Its total energy is -6.988 eV per atom. For the density of states at the Fermi level, the calculation gives 1.21 states/eV/atom.